Record 1
Here is La2Hg6Bi after structural relaxation from the Alexandria database. Energies are from PBE.

abc: 3.524 9.106 8.861
angles: 120.92 89.98 90.00
Positions (direct):
La1 0.000 0.336 0.672
La2 0.000 0.664 0.328
Hg1 0.500 0.329 0.332
Hg2 0.500 0.671 0.668
Hg3 0.500 0.997 0.668
Hg4 0.500 0.672 0.000
Hg5 0.500 0.328 0.000
Hg6 0.500 0.002 0.332
Bi1 0.000 0.000 0.000

**Spin magnetization**: 0.4 μB/f.u.
**Total energy**: -0.1485 Ry per atom



Record 2
Here is Ba2ZrIn after structural relaxation from the Alexandria database. Energies are from PBE.

abc: 9.513 9.513 7.505
angles: 50.67 50.67 90.00
Positions (direct):
Ba1 0.633 0.125 0.250
Ba2 0.117 0.625 0.250
Ba3 0.375 0.367 0.750
Ba4 0.875 0.883 0.750
Zr1 0.500 0.500 0.000
Zr2 0.250 0.750 0.500
In1 0.000 0.000 0.000
In2 0.750 0.250 0.500

**Spin magnetization**: 2.0 μB/f.u.
**Total energy**: -0.2399 Ry per atom



Record 3
Here is Hf3HgC after structural relaxation from the Alexandria database. Energies are from PBE.

abc: 4.876 4.876 11.486
angles: 77.74 77.74 90.00
Positions (direct):
C1 0.650 0.150 0.700
C2 0.850 0.350 0.300
Hf1 0.630 0.872 0.257
Hf2 0.128 0.370 0.743
Hf3 0.128 0.887 0.743
Hf4 0.113 0.872 0.257
Hf5 0.312 0.312 0.376
Hf6 0.688 0.688 0.624
Hg1 0.000 0.000 0.000
Hg2 0.250 0.750 0.500

**Spin magnetization**: 0.0 μB/f.u.
**Total energy**: -0.4910 Ry per atom
**Excess energy over the best structure of this formula in the dataset**: 39.32 kcal/mol of atoms



Record 4
Here is Sr2AgGe3Pt4 after structural relaxation from the Alexandria database. Energies are from PBE.

abc: 4.453 4.453 10.427
angles: 90.00 90.00 90.00
Positions (direct):
Sr1 0.500 0.000 0.252
Sr2 0.000 0.500 0.748
Ag1 0.500 0.500 0.500
Ge1 0.000 0.000 0.500
Ge2 0.500 0.000 0.881
Ge3 0.000 0.500 0.119
Pt1 0.500 0.500 0.000
Pt2 0.000 0.000 0.000
Pt3 0.500 0.000 0.645
Pt4 0.000 0.500 0.355

**Spin magnetization**: 0.0 μB/f.u.
**Total energy**: -0.3768 Ry per atom



Record 5
Here is SrPu2Tl9 after structural relaxation from the Alexandria database. Energies are from PBE.

abc: 4.855 4.855 14.551
angles: 90.00 90.00 90.00
Positions (direct):
Sr1 0.000 0.000 0.000
Pu1 0.000 0.000 0.338
Pu2 0.000 0.000 0.662
Tl1 0.500 0.500 0.000
Tl2 0.500 0.500 0.337
Tl3 0.500 0.500 0.663
Tl4 0.500 0.000 0.175
Tl5 0.500 0.000 0.500
Tl6 0.500 0.000 0.825
Tl7 0.000 0.500 0.175
Tl8 0.000 0.500 0.500
Tl9 0.000 0.500 0.825

**Spin magnetization**: 11.6 μB/f.u.
**Total energy**: -0.3235 Ry per atom



Record 6
Here is Pr2PuP after structural relaxation from the Alexandria database. Energies are from PBE.

abc: 3.859 3.859 10.613
angles: 79.53 79.53 60.00
Positions (direct):
Pr1 0.111 0.111 0.667
Pr2 0.889 0.889 0.333
P1 0.500 0.500 0.500
Pu1 0.000 0.000 0.000

**Spin magnetization**: 6.3 μB/f.u.
**Total energy**: -0.5620 Ry per atom



Record 7
Here is Er4CdIn2Ag after structural relaxation from the Alexandria database. Energies are from PBE.

abc: 5.229 5.229 9.067
angles: 73.24 73.24 60.00
Positions (direct):
Er1 0.377 0.377 0.868
Er2 0.873 0.873 0.381
Er3 0.127 0.127 0.619
Er4 0.623 0.623 0.132
Cd1 0.000 0.000 0.000
In1 0.749 0.749 0.753
In2 0.251 0.251 0.247
Ag1 0.500 0.500 0.500

**Spin magnetization**: 0.0 μB/f.u.
**Total energy**: -0.2816 Ry per atom



Record 8
Here is MgTlCl6 after structural relaxation from the Alexandria database. Energies are from PBE.

abc: 6.458 6.458 6.764
angles: 61.31 61.66 60.07
Positions (direct):
Mg1 0.500 0.500 0.500
Tl1 0.000 0.000 0.000
Cl1 0.086 0.429 0.742
Cl2 0.742 0.086 0.743
Cl3 0.571 0.258 0.257
Cl4 0.258 0.914 0.257
Cl5 0.914 0.571 0.258
Cl6 0.429 0.742 0.743

**Spin magnetization**: 1.1 μB/f.u.
**Total energy**: -0.1998 Ry per atom
**ΔE_f (raw)**: -838 meV/atom



Record 9
Here is Li3Cu2Pd after structural relaxation from the Alexandria database. Energies are from PBE.

abc: 4.677 4.677 4.302
angles: 90.00 90.00 120.00
Positions (direct):
Li1 0.500 0.500 0.500
Li2 0.000 0.500 0.500
Li3 0.500 0.000 0.500
Cu1 0.667 0.333 0.000
Cu2 0.333 0.667 0.000
Pd1 0.000 0.000 0.000

**Spin magnetization**: 0.0 μB/f.u.
**Total energy**: -0.2319 Ry per atom
**Excess energy over the best structure of this formula in the dataset**: 4.13 kcal/mol of atoms



Record 10
Here is Na2GaSbTe5 after structural relaxation from the Alexandria database. Energies are from PBE.

abc: 3.890 10.409 14.715
angles: 90.00 90.00 100.77
Positions (direct):
Na1 0.873 0.746 0.801
Na2 0.094 0.187 0.652
Na3 0.127 0.254 0.301
Na4 0.906 0.813 0.152
Ga1 0.570 0.141 0.932
Ga2 0.430 0.859 0.432
Sb1 0.771 0.542 0.542
Sb2 0.229 0.458 0.042
Te1 0.363 0.725 0.987
Te2 0.699 0.398 0.887
Te3 0.505 0.009 0.780
Te4 0.255 0.510 0.695
Te5 0.945 0.890 0.549
Te6 0.637 0.275 0.487
Te7 0.301 0.602 0.387
Te8 0.495 0.991 0.280
Te9 0.745 0.490 0.195
Te10 0.055 0.110 0.049

**Spin magnetization**: 0.0 μB/f.u.
**Total energy**: -0.2369 Ry per atom
**ΔE_f (raw)**: -391 meV/atom



Record 11
Here is Er2PuHfN4 after structural relaxation from the Alexandria database. Energies are from PBE.

abc: 3.375 5.858 5.836
angles: 109.37 90.00 90.00
Positions (direct):
Er1 0.500 0.000 0.500
Er2 0.000 0.500 0.500
Pu1 0.500 0.500 0.000
Hf1 0.000 0.000 0.000
N1 0.500 0.235 0.235
N2 0.500 0.765 0.765
N3 0.000 0.242 0.761
N4 0.000 0.758 0.239

**Spin magnetization**: 4.8 μB/f.u.
**Total energy**: -0.7347 Ry per atom
**ΔE_f (raw)**: -1657 meV/atom



Record 12
Here is Dy3Ho7Sc2 after structural relaxation from the Alexandria database. Energies are from PBE.

abc: 3.520 5.600 18.695
angles: 98.61 90.00 90.00
Positions (direct):
Dy1 0.500 0.500 0.000
Dy2 0.500 0.684 0.368
Dy3 0.500 0.316 0.632
Ho1 0.000 0.405 0.811
Ho2 0.000 0.770 0.540
Ho3 0.000 0.000 0.000
Ho4 0.000 0.595 0.189
Ho5 0.500 0.074 0.147
Ho6 0.500 0.926 0.853
Ho7 0.000 0.230 0.460
Sc1 0.000 0.852 0.704
Sc2 0.000 0.148 0.296

**Spin magnetization**: 0.0 μB/f.u.
**Total energy**: -0.3494 Ry per atom
**Excess energy over the best structure of this formula in the dataset**: 0.00 kcal/mol of atoms



Record 13
Here is Na2AgW after structural relaxation from the Alexandria database. Energies are from PBE.

abc: 8.370 8.370 6.571
angles: 50.44 50.44 90.00
Positions (direct):
Na1 0.594 0.125 0.250
Na2 0.156 0.625 0.250
Na3 0.375 0.406 0.750
Na4 0.875 0.844 0.750
Ag1 0.500 0.500 0.000
Ag2 0.250 0.750 0.500
W1 0.000 0.000 0.000
W2 0.750 0.250 0.500

**Spin magnetization**: 4.3 μB/f.u.
**Total energy**: -0.2348 Ry per atom
**Excess energy over the best structure of this formula in the dataset**: 0.82 kcal/mol of atoms



Record 14
Here is FeSb2Ir after structural relaxation from the Alexandria database. Energies are from PBE.

abc: 4.764 4.764 4.764
angles: 60.00 60.00 60.00
Positions (direct):
Fe1 0.500 0.500 0.500
Ir1 0.250 0.250 0.250
Sb1 0.000 0.000 0.000
Sb2 0.750 0.750 0.750

**Spin magnetization**: 3.4 μB/f.u.
**Total energy**: -0.4241 Ry per atom
**ΔE_f (raw)**: 622 meV/atom
**Excess energy over the best structure of this formula in the dataset**: 16.73 kcal/mol of atoms



Record 15
Here is ThTaRh after structural relaxation from the Alexandria database. Energies are from PBE.

abc: 4.667 3.302 11.679
angles: 90.00 90.00 134.97
Positions (direct):
Rh1 0.695 0.389 0.000
Rh2 0.194 0.389 0.500
Ta1 0.694 0.389 0.372
Ta2 0.694 0.389 0.628
Th1 0.194 0.389 0.829
Th2 0.194 0.389 0.171

**Spin magnetization**: 0.0 μB/f.u.
**Total energy**: -0.6649 Ry per atom



Record 16
Here is SrYSc2 after structural relaxation from the Alexandria database. Energies are from PBE.

abc: 6.063 6.063 6.063
angles: 130.45 130.45 72.68
Positions (direct):
Sc1 0.000 0.000 0.000
Sc2 0.500 0.500 0.000
Sr1 0.250 0.750 0.500
Y1 0.750 0.250 0.500

**Spin magnetization**: 1.4 μB/f.u.
**Total energy**: -0.3604 Ry per atom
**Excess energy over the best structure of this formula in the dataset**: 3.43 kcal/mol of atoms



Record 17
Here is LiScTc2 after structural relaxation from the Alexandria database. Energies are from PBE.

abc: 2.630 2.630 9.075
angles: 90.00 90.00 90.00
Positions (direct):
Li1 0.500 0.500 0.250
Sc1 0.500 0.500 0.750
Tc1 0.000 0.000 0.006
Tc2 0.000 0.000 0.494

**Spin magnetization**: 0.0 μB/f.u.
**Total energy**: -0.5141 Ry per atom
**Excess energy over the best structure of this formula in the dataset**: 6.70 kcal/mol of atoms



Record 18
Here is BaLi2CeO4 after structural relaxation from the Alexandria database. Energies are from PBE.

abc: 5.735 5.485 5.485
angles: 63.05 58.48 58.48
Positions (direct):
Ba1 0.000 0.000 0.000
Li1 0.250 0.250 0.250
Li2 0.750 0.750 0.750
Ce1 0.500 0.500 0.500
O1 0.462 0.114 0.538
O2 0.114 0.886 0.462
O3 0.886 0.538 0.114
O4 0.538 0.462 0.886

**Spin magnetization**: 0.0 μB/f.u.
**Total energy**: -0.4760 Ry per atom
**ΔE_f (raw)**: -2536 meV/atom



Record 19
Here is Li3TlSn2 after structural relaxation from the Alexandria database. Energies are from PBE.

abc: 5.500 6.318 8.585
angles: 110.01 108.68 90.00
Positions (direct):
Li1 0.677 0.250 0.000
Li2 0.323 0.750 0.000
Li3 0.202 0.939 0.362
Li4 0.840 0.561 0.638
Li5 0.160 0.439 0.362
Li6 0.798 0.061 0.638
Tl1 0.830 0.750 0.000
Tl2 0.170 0.250 0.000
Sn1 0.649 0.654 0.309
Sn2 0.660 0.154 0.309
Sn3 0.340 0.846 0.691
Sn4 0.351 0.346 0.691

**Spin magnetization**: 0.0 μB/f.u.
**Total energy**: -0.2141 Ry per atom
**Excess energy over the best structure of this formula in the dataset**: 1.51 kcal/mol of atoms



Record 20
Here is Pm2Er5Sb4 after structural relaxation from the Alexandria database. Energies are from PBE.

abc: 4.274 7.034 15.081
angles: 123.13 98.15 90.00
Positions (direct):
Pm1 0.055 0.769 0.109
Pm2 0.945 0.231 0.891
Er1 0.179 0.827 0.357
Er2 0.821 0.173 0.643
Er3 0.170 0.312 0.340
Er4 0.500 0.000 0.000
Er5 0.830 0.688 0.660
Sb1 0.726 0.682 0.452
Sb2 0.930 0.645 0.859
Sb3 0.274 0.318 0.548
Sb4 0.070 0.355 0.141

**Spin magnetization**: 2.2 μB/f.u.
**Total energy**: -0.3558 Ry per atom
**ΔE_f (raw)**: -404 meV/atom



Record 21
Here is Cs2NaSn after structural relaxation from the Alexandria database. Energies are from PBE.

abc: 4.168 4.168 15.010
angles: 82.02 82.02 60.00
Positions (direct):
Cs1 0.083 0.083 0.750
Cs2 0.917 0.917 0.250
Na1 0.500 0.500 0.500
Sn1 0.000 0.000 0.000

**Spin magnetization**: 0.0 μB/f.u.
**Total energy**: -0.1025 Ry per atom
**Excess energy over the best structure of this formula in the dataset**: 10.47 kcal/mol of atoms



Record 22
Here is La3Th2S8 after structural relaxation from the Alexandria database. Energies are from PBE.

abc: 4.771 9.894 8.490
angles: 125.59 90.00 90.00
Positions (direct):
La1 0.500 0.000 0.000
La2 0.000 0.282 0.000
La3 0.000 0.718 0.000
Th1 0.500 0.259 0.518
Th2 0.500 0.741 0.482
S1 0.000 0.631 0.262
S2 0.000 0.369 0.738
S3 0.000 0.125 0.249
S4 0.000 0.875 0.751
S5 0.500 0.627 0.744
S6 0.500 0.118 0.744
S7 0.500 0.882 0.256
S8 0.500 0.373 0.256

**Spin magnetization**: 0.2 μB/f.u.
**Total energy**: -0.4991 Ry per atom
**ΔE_f (raw)**: -1972 meV/atom



Record 23
Here is YNi4Rh after structural relaxation from the Alexandria database. Energies are from PBE.

abc: 3.818 6.518 7.214
angles: 90.00 90.00 90.00
Positions (direct):
Y1 0.000 0.642 0.750
Y2 0.000 0.358 0.250
Ni1 0.000 0.000 0.500
Ni2 0.000 0.000 0.000
Ni3 0.500 0.969 0.750
Ni4 0.500 0.031 0.250
Ni5 0.500 0.729 0.034
Ni6 0.500 0.271 0.966
Ni7 0.500 0.729 0.466
Ni8 0.500 0.271 0.534
Rh1 0.000 0.240 0.750
Rh2 0.000 0.760 0.250

**Spin magnetization**: 1.6 μB/f.u.
**Total energy**: -0.4567 Ry per atom
**Excess energy over the best structure of this formula in the dataset**: 4.47 kcal/mol of atoms



Record 24
Here is ZrTcPt after structural relaxation from the Alexandria database. Energies are from PBE.

abc: 5.187 5.187 5.187
angles: 148.30 134.69 56.35
Positions (direct):
Pt1 0.987 0.987 0.000
Tc1 0.344 0.344 0.000
Zr1 0.669 0.669 0.000

**Spin magnetization**: 0.3 μB/f.u.
**Total energy**: -0.6309 Ry per atom
**Excess energy over the best structure of this formula in the dataset**: 0.39 kcal/mol of atoms